#i
Below is crystalline PaTaNi at its relaxed geometry, with properties calculated at the PBE level.

Lattice parameters (Å, degrees): 4.4290 4.4290 4.4290 60.00 60.00 60.00
Closest atoms and distances in Å follow each position.
Sites, in units of the cell vectors:
Ni  0.2500  0.2500  0.2500  4 Pa 2.71
Pa  0.0000  0.0000  0.0000  4 Ta 2.71, 4 Ni 2.71
Ta  0.7500  0.7500  0.7500  4 Pa 2.71

#ii
Below is crystalline PaTaNi at its relaxed geometry, with properties calculated at the PBE level.

Lattice parameters (Å, degrees): 4.4187 4.4187 4.4187 60.00 60.00 60.00
Closest atoms and distances in Å follow each position.
Sites, in units of the cell vectors:
Ni  0.0000  0.0000  0.0000  4 Pa 2.71, 4 Ta 2.71
Pa  0.7500  0.7500  0.7500  4 Ni 2.71
Ta  0.2500  0.2500  0.2500  4 Ni 2.71

Which of them is the least stable? Correct choice: #i.

#i
Below is crystalline PaTlNi at its relaxed geometry, with properties calculated at the PBE level.

Lattice parameters (Å, degrees): 4.7894 4.7894 4.7894 60.00 60.00 60.00
Closest atoms and distances in Å follow each position.
Sites, in units of the cell vectors:
Ni  0.2500  0.2500  0.2500  4 Pa 2.93
Pa  0.0000  0.0000  0.0000  4 Tl 2.93, 4 Ni 2.93
Tl  0.7500  0.7500  0.7500  4 Pa 2.93

#ii
Below is crystalline PaTlNi at its relaxed geometry, with properties calculated at the PBE level.

Lattice parameters (Å, degrees): 5.1189 5.1189 8.8993 90.00 90.00 120.00
Closest atoms and distances in Å follow each position.
Sites, in units of the cell vectors:
Ni  0.0000  0.0000  0.1472  1 Ni 2.62
Ni  0.0000  0.0000  0.5000  2 Ni 3.14, 6 Pa 3.23, 6 Tl 3.29
Ni  0.0000  0.0000  0.8528  1 Ni 2.62
Pa  0.3333  0.6667  0.0000  5 Tl 2.96-3.00, 6 Ni 3.23
Pa  0.6667  0.3333  0.3532  1 Pa 2.61
Pa  0.6667  0.3333  0.6468  1 Pa 2.61
Tl  0.6667  0.3333  0.0000  5 Pa 2.96-3.14, 6 Ni 3.23
Tl  0.3333  0.6667  0.3366  1 Tl 2.91, 4 Pa 2.96-3.00
Tl  0.3333  0.6667  0.6634  1 Tl 2.91, 4 Pa 2.96-3.00

Which of them is the least stable? Correct choice: #i.

#i
Below is crystalline Ni15Pb at its relaxed geometry, with properties calculated at the PBE level.

Lattice parameters (Å, degrees): 4.9501 3.4774 33.1112 90.00 90.00 90.00
Closest atoms and distances in Å follow each position.
Sites, in units of the cell vectors:
Ni  0.6249  0.0000  0.2225  5 Ni 2.41, 2 Pb 2.60
Ni  0.3753  0.5000  0.2567  9 Ni 2.41-2.50
Ni  0.8747  0.5000  0.2567  9 Ni 2.41-2.49
Ni  0.1250  0.0000  0.2937  11 Ni 2.46-2.50
Ni  0.6250  0.0000  0.2953  12 Ni 2.41-2.49
Ni  0.8759  0.5000  0.3320  12 Ni 2.46-2.49
Ni  0.3741  0.5000  0.3320  12 Ni 2.46-2.50
Ni  0.1250  0.0000  0.3693  12 Ni 2.46-2.50
Ni  0.6251  0.0000  0.3699  12 Ni 2.46-2.48
Ni  0.3747  0.5000  0.4069  12 Ni 2.46-2.48
Ni  0.8754  0.5000  0.4070  12 Ni 2.46-2.48
Ni  0.1250  0.0000  0.4442  12 Ni 2.46-2.48
Ni  0.6251  0.0000  0.4445  12 Ni 2.46-2.48
Ni  0.3750  0.5000  0.4816  12 Ni 2.45-2.48
Ni  0.8751  0.5000  0.4818  12 Ni 2.46-2.48
Ni  0.1249  0.0000  0.5187  12 Ni 2.46-2.48
Ni  0.6250  0.0000  0.5188  12 Ni 2.46-2.48
Ni  0.3749  0.5000  0.5557  12 Ni 2.45-2.48
Ni  0.8749  0.5000  0.5560  12 Ni 2.46-2.48
Ni  0.1248  0.0000  0.5931  12 Ni 2.46-2.48
Ni  0.6251  0.0000  0.5931  12 Ni 2.46-2.48
Ni  0.3749  0.5000  0.6302  12 Ni 2.46-2.48
Ni  0.8750  0.5000  0.6308  12 Ni 2.46-2.49
Ni  0.1241  0.0000  0.6680  12 Ni 2.45-2.48
Ni  0.6258  0.0000  0.6680  12 Ni 2.45-2.48
Ni  0.3750  0.5000  0.7045  12 Ni 2.41-2.49
Ni  0.8750  0.5000  0.7061  11 Ni 2.46-2.49
Ni  0.1252  0.0000  0.7430  9 Ni 2.41-2.49
Ni  0.6249  0.0000  0.7430  9 Ni 2.41-2.49
Ni  0.3751  0.5000  0.7772  5 Ni 2.41-2.42, 2 Pb 2.60
Pb  0.1248  0.0000  0.1989  6 Ni 2.60-2.87
Pb  0.8752  0.5000  0.8008  6 Ni 2.60-2.87

#ii
Below is crystalline Ni15Pb at its relaxed geometry, with properties calculated at the PBE level.

Lattice parameters (Å, degrees): 5.0074 2.6425 38.9288 90.00 90.00 90.00
Closest atoms and distances in Å follow each position.
Sites, in units of the cell vectors:
Ni  0.3750  0.0000  0.1843  6 Ni 2.43-2.64, 2 Pb 2.62
Ni  0.1207  0.5000  0.2252  10 Ni 2.43-2.64
Ni  0.6293  0.5000  0.2253  10 Ni 2.43-2.64
Ni  0.3750  0.0000  0.2675  12 Ni 2.46-2.64
Ni  0.8750  0.0000  0.2675  12 Ni 2.44-2.64
Ni  0.1250  0.5000  0.3099  12 Ni 2.45-2.64
Ni  0.6250  0.5000  0.3099  12 Ni 2.45-2.64
Ni  0.8750  0.0000  0.3520  12 Ni 2.45-2.64
Ni  0.3750  0.0000  0.3520  12 Ni 2.44-2.64
Ni  0.1252  0.5000  0.3939  12 Ni 2.44-2.64
Ni  0.6248  0.5000  0.3939  12 Ni 2.44-2.64
Ni  0.8750  0.0000  0.4365  12 Ni 2.45-2.64
Ni  0.3750  0.0000  0.4365  12 Ni 2.45-2.64
Ni  0.1250  0.5000  0.4786  12 Ni 2.45-2.64
Ni  0.6250  0.5000  0.4787  12 Ni 2.45-2.64
Ni  0.3749  0.0000  0.5212  12 Ni 2.46-2.64
Ni  0.8751  0.0000  0.5212  12 Ni 2.46-2.64
Ni  0.6250  0.5000  0.5636  12 Ni 2.45-2.64
Ni  0.1250  0.5000  0.5637  12 Ni 2.45-2.64
Ni  0.8748  0.0000  0.6057  12 Ni 2.45-2.64
Ni  0.3752  0.0000  0.6057  12 Ni 2.45-2.64
Ni  0.6250  0.5000  0.6482  12 Ni 2.45-2.64
Ni  0.1250  0.5000  0.6482  12 Ni 2.45-2.64
Ni  0.8750  0.0000  0.6902  12 Ni 2.45-2.64
Ni  0.3750  0.0000  0.6902  12 Ni 2.45-2.64
Ni  0.1250  0.5000  0.7325  12 Ni 2.44-2.64
Ni  0.6250  0.5000  0.7326  12 Ni 2.46-2.64
Ni  0.8792  0.0000  0.7748  10 Ni 2.43-2.64
Ni  0.3708  0.0000  0.7748  10 Ni 2.43-2.64
Ni  0.6250  0.5000  0.8158  6 Ni 2.43-2.64, 2 Pb 2.62
Pb  0.8750  0.0000  0.1641  2 Ni 2.62, 2 Pb 2.64
Pb  0.1250  0.5000  0.8359  2 Ni 2.62, 2 Pb 2.64

#iii
Below is crystalline Ni15Pb at its relaxed geometry, with properties calculated at the PBE level.

Lattice parameters (Å, degrees): 4.2827 33.4957 4.2827 90.00 108.80 90.00
Closest atoms and distances in Å follow each position.
Sites, in units of the cell vectors:
Ni  0.5000  0.2266  0.0000  5 Ni 2.39-2.43, 2 Pb 2.60
Ni  0.0000  0.2610  0.0000  9 Ni 2.43-2.49
Ni  0.5000  0.2978  0.0000  12 Ni 2.39-2.49
Ni  0.0000  0.3351  0.0000  12 Ni 2.45-2.49
Ni  0.5000  0.3715  0.0000  12 Ni 2.46-2.49
Ni  0.0000  0.4082  0.0000  12 Ni 2.45-2.49
Ni  0.5000  0.4448  0.0000  12 Ni 2.46-2.49
Ni  0.0000  0.4815  0.0000  12 Ni 2.46-2.49
Ni  0.5000  0.5183  0.0000  12 Ni 2.46-2.49
Ni  0.0000  0.5550  0.0000  12 Ni 2.46-2.49
Ni  0.5000  0.5917  0.0000  12 Ni 2.46-2.49
Ni  0.0000  0.6284  0.0000  12 Ni 2.46-2.49
Ni  0.5000  0.6653  0.0000  12 Ni 2.46-2.49
Ni  0.0000  0.7018  0.0000  11 Ni 2.46-2.49
Ni  0.5000  0.7389  0.0000  9 Ni 2.43-2.49
Ni  0.5000  0.2610  0.5000  9 Ni 2.43-2.49
Ni  0.0000  0.2977  0.5000  11 Ni 2.47-2.49
Ni  0.5000  0.3351  0.5000  12 Ni 2.45-2.49
Ni  0.0000  0.3720  0.5000  12 Ni 2.45-2.49
Ni  0.5000  0.4082  0.5000  12 Ni 2.45-2.49
Ni  0.0000  0.4450  0.5000  12 Ni 2.45-2.49
Ni  0.5000  0.4815  0.5000  12 Ni 2.46-2.49
Ni  0.0000  0.5183  0.5000  12 Ni 2.46-2.49
Ni  0.5000  0.5552  0.5000  12 Ni 2.47-2.49
Ni  0.0000  0.5917  0.5000  12 Ni 2.46-2.49
Ni  0.5000  0.6289  0.5000  12 Ni 2.45-2.49
Ni  0.0000  0.6653  0.5000  12 Ni 2.46-2.49
Ni  0.5000  0.7020  0.5000  12 Ni 2.39-2.49
Ni  0.0000  0.7389  0.5000  9 Ni 2.43-2.49
Ni  0.5000  0.7733  0.5000  5 Ni 2.39-2.43, 2 Pb 2.60
Pb  0.0000  0.7952  0.0000  6 Ni 2.60-2.85
Pb  0.0000  0.2049  0.5000  6 Ni 2.60-2.85

Which of them is the least stable? Correct choice: #ii.